1.
Compound: PmAlGe2Os
Source: Alexandria via LeMat-Bulk
Functional: GGA-PBE
Structure: relaxed

abc: 3.9934 3.9934 6.3899
angles: 108.21 108.21 90.00
Closest atoms and distances in Å follow each position.
Atoms (fractional coordinates):
Ge 0.3881 0.3881 0.7761  2 Os 2.55, 2 Al 2.55, 1 Ge 2.57
Ge 0.6119 0.6119 0.2239  2 Os 2.55, 2 Al 2.55, 1 Ge 2.57
Pm 0.0000 0.0000 0.0000  8 Ge 3.10
Os 0.7500 0.2500 0.5000  4 Ge 2.55, 4 Al 2.82
Al 0.2500 0.7500 0.5000  4 Ge 2.55, 4 Os 2.82

=====

2.
Compound: PrAl2GeOs2
Source: Alexandria via LeMat-Bulk
Functional: GGA-PBE
Structure: relaxed

abc: 4.5710 4.5710 5.7773
angles: 90.00 90.00 90.00
Closest atoms and distances in Å follow each position.
Atoms (fractional coordinates):
Ge 0.0000 0.0000 0.0000  4 Os 2.29
Al 0.5000 0.5000 0.7417  4 Os 2.73, 2 Al 2.79-2.98
Al 0.5000 0.5000 0.2583  4 Os 2.73, 2 Al 2.79-2.98
Os 0.5000 0.0000 0.0000  2 Ge 2.29
Os 0.0000 0.5000 0.0000  2 Ge 2.29
Pr 0.0000 0.0000 0.5000  2 Ge 2.89

=====

3.
Compound: PuAlGe2Os
Source: Alexandria via LeMat-Bulk
Functional: GGA-PBE
Structure: relaxed

abc: 3.9658 3.9658 6.3580
angles: 108.17 108.17 90.00
Closest atoms and distances in Å follow each position.
Atoms (fractional coordinates):
Pu 0.0000 0.0000 0.0000  8 Ge 3.08
Ge 0.3891 0.3891 0.7782  1 Ge 2.53, 2 Os 2.54, 2 Al 2.54
Ge 0.6109 0.6109 0.2218  1 Ge 2.53, 2 Os 2.54, 2 Al 2.54
Al 0.7500 0.2500 0.5000  4 Ge 2.54, 4 Os 2.80
Os 0.2500 0.7500 0.5000  4 Ge 2.54, 4 Al 2.80

=====

4.
Compound: AlGeOsRu2
Source: Alexandria via LeMat-Bulk
Functional: GGA-PBE
Structure: relaxed

abc: 4.3976 4.5019 4.3976
angles: 90.00 90.00 90.00
Closest atoms and distances in Å follow each position.
Atoms (fractional coordinates):
Os 0.0000 0.5000 0.0000  2 Al 2.25
Ge 0.5000 0.5000 0.5000  4 Os 3.11, 8 Ru 3.15
Ru 0.0000 0.0000 0.5000  2 Al 2.20
Ru 0.5000 0.0000 0.0000  2 Al 2.20
Al 0.0000 0.0000 0.0000  4 Ru 2.20, 2 Os 2.25

=====

5.
Compound: SmAl2GeOs2
Source: Alexandria via LeMat-Bulk
Functional: GGA-PBE
Structure: relaxed

abc: 4.5651 4.5651 5.6932
angles: 90.00 90.00 90.00
Closest atoms and distances in Å follow each position.
Atoms (fractional coordinates):
Os 0.5000 0.0000 0.0000  2 Ge 2.28
Os 0.0000 0.5000 0.0000  2 Ge 2.28
Al 0.5000 0.5000 0.2604  4 Os 2.72, 2 Al 2.73-2.96
Ge 0.0000 0.0000 0.0000  4 Os 2.28
Sm 0.0000 0.0000 0.5000  2 Ge 2.85
Al 0.5000 0.5000 0.7396  4 Os 2.72, 2 Al 2.73-2.96

=====

6.
Compound: ThAl2GeOs2
Source: Alexandria via LeMat-Bulk
Functional: GGA-PBE
Structure: relaxed

abc: 4.5687 4.5687 5.7299
angles: 90.00 90.00 90.00
Closest atoms and distances in Å follow each position.
Atoms (fractional coordinates):
Os 0.5000 0.0000 0.0000  2 Ge 2.28
Al 0.5000 0.5000 0.2602  4 Os 2.73, 2 Al 2.75-2.98
Ge 0.0000 0.0000 0.0000  4 Os 2.28
Th 0.0000 0.0000 0.5000  2 Ge 2.86
Al 0.5000 0.5000 0.7398  4 Os 2.73, 2 Al 2.75-2.98
Os 0.0000 0.5000 0.0000  2 Ge 2.28

=====

What total energy values result from the calculations? In sequence: -6.240 -6.566 -7.964 -6.368 -6.538 -6.941 eV per atom.
What N(E_F) values result from the calculations? In sequence: 2.135 4.508 11.233 8.487 4.590 4.594 states/eV per cell.